VASP calculation (GGA-PBEsol) on crystalline Bi3BrCl at its relaxed geometry.

Output
E_tot: -2.791 eV/atom
Energy above the most stable polymorph in this dataset: 0 meV per atom
Magnetization: 0.000 μB per formula unit
Raw formation energy: 0.555 eV per atom
D(E_F): 3.79 states/eV/f.u.
SG: Pm-3m (221)

```
Bi3BrCl
1.0
5.473 0.000 0.000
0.000 5.473 0.000
0.000 0.000 5.473
Br Bi Cl
1 3 1
Direct
0.500 0.500 0.500
0.500 0.000 0.000
0.000 0.500 0.000
0.000 0.000 0.500
0.000 0.000 0.000
```

VASP calculation (GGA-PBEsol) on crystalline Hg2PtBr at its relaxed geometry.

Output
E_tot: -2.162 eV/atom
Energy above the most stable polymorph in this dataset: 282 meV per atom
Magnetization: 0.000 μB per formula unit
Raw formation energy: 0.330 eV per atom
D(E_F): 1.79 states/eV/f.u.
SG: I-4m2 (119)

```
Hg2PtBr
1.0
-1.542 -2.615 2.443
2.395 -2.730 -1.411
3.482 4.059 3.436
Br Hg Pt
1 2 1
Direct
0.250 0.750 0.500
0.000 0.000 0.000
0.750 0.250 0.500
0.500 0.500 0.000
```

VASP calculation (GGA-PBEsol) on crystalline LiAuSe2 at its relaxed geometry.

Output
E_tot: -3.892 eV/atom
Magnetization: 0.000 μB per formula unit
Raw formation energy: -0.495 eV per atom
D(E_F): 0.47 states/eV/f.u.
SG: C2/m (12)

```
LiAuSe2
1.0
3.755 0.000 0.000
1.877 4.077 0.150
1.877 0.848 5.678
Li Au Se
1 1 2
Direct
0.500 0.000 0.000
0.500 0.500 0.500
0.867 0.478 0.788
0.133 0.522 0.212
```

VASP calculation (GGA-PBEsol) on crystalline La2WBr at its relaxed geometry.

Output
E_tot: -6.717 eV/atom
Energy above the most stable polymorph in this dataset: 0 meV per atom
Magnetization: 0.000 μB per formula unit
Raw formation energy: -0.125 eV per atom
D(E_F): 3.35 states/eV/f.u.
SG: Pmm2 (25)

```
La2WBr
1.0
-2.760 1.993 -0.462
-2.898 -3.582 1.852
0.704 2.233 5.420
La W Br
2 1 1
Direct
0.322 0.000 0.500
0.885 0.500 0.000
0.464 0.000 0.000
0.829 0.500 0.500
```

VASP calculation (GGA-PBEsol) on crystalline SnAsF7 at its relaxed geometry.

Output
E_tot: -4.747 eV/atom
Magnetization: 0.000 μB per formula unit
Raw formation energy: -2.208 eV per atom
D(E_F): 0.00 states/eV/f.u.
SG: R32 (155)

```
SnAsF7
1.0
-1.183 -4.183 -6.313
1.900 -7.223 1.724
-6.552 -3.834 1.063
F As Sn
21 3 3
Direct
0.680 0.320 0.500
0.483 0.800 0.636
0.238 0.398 0.082
0.200 0.517 0.364
0.800 0.636 0.483
0.879 0.152 0.152
0.762 0.918 0.602
0.848 0.848 0.121
0.398 0.082 0.238
0.152 0.879 0.152
0.918 0.602 0.762
0.602 0.762 0.918
0.848 0.121 0.848
0.121 0.848 0.848
0.636 0.483 0.800
0.364 0.200 0.517
0.320 0.500 0.680
0.152 0.152 0.879
0.082 0.238 0.398
0.517 0.364 0.200
0.500 0.680 0.320
0.701 0.701 0.701
0.299 0.299 0.299
0.000 0.000 0.000
0.500 0.238 0.762
0.762 0.500 0.238
0.238 0.762 0.500
```

VASP calculation (GGA-PBEsol) on crystalline CdTe3Os at its relaxed geometry.

Output
E_tot: -4.114 eV/atom
Magnetization: 0.002 μB per formula unit
Raw formation energy: 0.684 eV per atom
D(E_F): 7.27 states/eV/f.u.
SG: Pm-3m (221)

```
CdTe3Os
1.0
5.218 0.000 0.000
0.000 5.218 0.000
0.000 0.000 5.218
Te Os Cd
3 1 1
Direct
0.500 0.000 0.000
0.000 0.000 0.500
0.000 0.500 0.000
0.000 0.000 0.000
0.500 0.500 0.500
```

VASP calculation (GGA-PBEsol) on crystalline Cr2RuBr at its relaxed geometry.

Output
E_tot: -7.500 eV/atom
Energy above the most stable polymorph in this dataset: 0 meV per atom
Magnetization: 0.000 μB per formula unit
Raw formation energy: 0.632 eV per atom
D(E_F): 2.74 states/eV/f.u.
SG: P4/mmm (123)

```
Cr2RuBr
1.0
-2.602 1.954 -0.599
-0.972 -2.037 -2.419
-3.119 -2.996 3.775
Br Cr Ru
1 2 1
Direct
0.500 0.500 0.500
0.000 0.000 0.832
0.000 0.000 0.168
0.500 0.500 0.000
```

VASP calculation (GGA-PBEsol) on crystalline Tc2Ni at its relaxed geometry.

Output
E_tot: -9.606 eV/atom
DFT formation energy: -0.1 eV/f.u.
Magnetization: 0.000 μB per formula unit
D(E_F): 3.04 states/eV/f.u.
SG: Cmcm (63)

```
Tc2Ni
1.0
-0.946 -1.542 1.942
3.640 -2.103 0.104
2.888 5.183 3.709
Ni Tc
2 4
Direct
0.889 0.750 0.779
0.111 0.250 0.221
0.446 0.250 0.893
0.779 0.250 0.558
0.221 0.750 0.442
0.554 0.750 0.107
```

VASP calculation (GGA-PBEsol) on crystalline LaGaSn2Ir at its relaxed geometry.

Output
E_tot: -5.591 eV/atom
DFT formation energy: -0.9 eV/f.u.
Magnetization: 0.000 μB per formula unit
D(E_F): 3.06 states/eV/f.u.
SG: P4/mmm (123)

```
LaGaSn2Ir
1.0
5.077 0.000 0.000
0.000 5.077 0.000
0.000 0.000 5.344
Sn Ir La Ga
2 1 1 1
Direct
0.500 0.000 0.000
0.000 0.500 0.000
0.000 0.000 0.000
0.000 0.000 0.500
0.500 0.500 0.500
```

VASP calculation (GGA-PBEsol) on crystalline Rb3NbPt at its relaxed geometry.

Output
E_tot: -2.854 eV/atom
DFT formation energy: 6.6 eV/f.u.
Energy above the most stable polymorph in this dataset: 0 meV per atom
Magnetization: 5.079 μB per formula unit
D(E_F): 14.12 states/eV/f.u.
SG: Pm-3m (221)

```
Rb3NbPt
1.0
-5.326 1.238 2.973
-3.123 -0.579 -5.353
-0.788 -6.072 1.117
Pt Rb Nb
1 3 1
Direct
0.000 0.000 0.000
0.500 0.000 0.000
0.000 0.500 0.000
0.000 0.000 0.500
0.500 0.500 0.500
```

VASP calculation (GGA-PBEsol) on crystalline NaLaS2 at its relaxed geometry.

Output
E_tot: -5.727 eV/atom
Magnetization: 0.000 μB per formula unit
Raw formation energy: -1.849 eV per atom
D(E_F): 0.00 states/eV/f.u.
SG: I4_1/amd (141)

```
NaLaS2
1.0
5.729 0.000 0.000
0.000 5.729 0.000
-2.865 -2.865 6.037
Na La S
2 2 4
Direct
0.000 0.000 0.000
0.250 0.750 0.500
0.500 0.500 0.000
0.750 0.250 0.500
0.514 0.014 0.028
0.986 0.486 0.972
0.736 0.736 0.472
0.264 0.264 0.528
```

VASP calculation (GGA-PBEsol) on crystalline YMo5 at its relaxed geometry.

Output
E_tot: -10.695 eV/atom
DFT formation energy: 1.5 eV/f.u.
Magnetization: 0.000 μB per formula unit
D(E_F): 4.06 states/eV/f.u.
SG: F-43m (216)

```
YMo5
1.0
5.288 0.000 0.000
2.644 4.580 0.000
2.644 1.527 4.318
Mo Y
5 1
Direct
0.375 0.874 0.375
0.375 0.375 0.874
0.750 0.750 0.750
0.375 0.375 0.375
0.874 0.375 0.375
0.000 0.000 0.000
```

VASP calculation (GGA-PBEsol) on crystalline TaCrSeN2 at its relaxed geometry.

Output
E_tot: -8.503 eV/atom
Energy above the most stable polymorph in this dataset: 0 meV per atom
Magnetization: 3.560 μB per formula unit
Raw formation energy: 0.237 eV per atom
D(E_F): 2.50 states/eV/f.u.
SG: P4/mmm (123)

```
TaCrSeN2
1.0
-0.613 1.299 3.677
-0.754 -3.692 1.179
5.141 -0.697 1.103
Ta N Se Cr
1 2 1 1
Direct
0.000 0.000 0.000
0.000 0.500 0.000
0.500 0.000 0.000
0.000 0.000 0.500
0.500 0.500 0.500
```

VASP calculation (GGA-PBEsol) on crystalline Na3ZrRe at its relaxed geometry.

Output
E_tot: -3.180 eV/atom
DFT formation energy: 10.7 eV/f.u.
Energy above the most stable polymorph in this dataset: 0 meV per atom
Magnetization: 0.789 μB per formula unit
D(E_F): 4.03 states/eV/f.u.
SG: Pm-3m (221)

```
Na3ZrRe
1.0
-1.729 -4.985 -0.608
4.808 -1.457 -1.721
1.449 -1.111 4.987
Na Zr Re
3 1 1
Direct
0.000 0.500 0.000
0.500 0.000 0.000
0.000 0.000 0.500
0.500 0.500 0.500
0.000 0.000 0.000
```

VASP calculation (GGA-PBEsol) on crystalline SrTi2As2 at its relaxed geometry.

Output
E_tot: -6.658 eV/atom
DFT formation energy: -4.6 eV/f.u.
Magnetization: 0.000 μB per formula unit
D(E_F): 4.40 states/eV/f.u.
SG: I4/mmm (139)

```
SrTi2As2
1.0
4.049 0.000 0.000
0.000 4.049 0.000
-2.024 -2.024 6.364
Ti As Sr
2 2 1
Direct
0.750 0.250 0.500
0.250 0.750 0.500
0.626 0.626 0.253
0.374 0.374 0.747
0.000 0.000 0.000
```

VASP calculation (GGA-PBEsol) on crystalline MoAuCl2 at its relaxed geometry.

Output
E_tot: -4.390 eV/atom
Energy above the most stable polymorph in this dataset: 407 meV per atom
Magnetization: 1.833 μB per formula unit
Raw formation energy: 0.537 eV per atom
D(E_F): 3.04 states/eV/f.u.
SG: Pmmm (47)

```
MoAuCl2
1.0
-1.330 -1.082 -2.415
-1.727 -3.125 2.351
-4.341 3.138 0.983
Au Cl Mo
1 2 1
Direct
0.000 0.500 0.500
0.500 0.000 0.500
0.000 0.000 0.000
0.500 0.500 0.000
```

VASP calculation (GGA-PBEsol) on crystalline Fe3Ir at its relaxed geometry.

Output
E_tot: -9.143 eV/atom
DFT formation energy: 0.1 eV/f.u.
Magnetization: 8.771 μB per formula unit
D(E_F): 3.11 states/eV/f.u.
SG: Fm-3m (225)

```
Fe3Ir
1.0
-0.386 2.016 -3.553
1.194 -1.770 -3.504
-2.799 -1.204 -2.748
Fe Ir
3 1
Direct
0.500 0.500 0.500
0.750 0.750 0.750
0.250 0.250 0.250
0.000 0.000 0.000
```

VASP calculation (GGA-PBEsol) on crystalline Tc3CCl at its relaxed geometry.

Output
E_tot: -6.715 eV/atom
Magnetization: 0.003 μB per formula unit
Raw formation energy: 2.375 eV per atom
D(E_F): 5.17 states/eV/f.u.
SG: Pm-3m (221)

```
Tc3CCl
1.0
-0.656 -2.812 -3.105
0.470 -3.172 2.774
-4.163 0.085 0.802
Tc C Cl
3 1 1
Direct
0.000 0.500 0.000
0.000 0.000 0.500
0.500 0.000 0.000
0.500 0.500 0.500
0.000 0.000 0.000
```

VASP calculation (GGA-PBEsol) on crystalline SrCaZnBr2 at its relaxed geometry.

Output
E_tot: -2.133 eV/atom
Magnetization: 0.000 μB per formula unit
Raw formation energy: -0.274 eV per atom
D(E_F): 2.28 states/eV/f.u.
SG: P4/mmm (123)

```
SrCaZnBr2
1.0
5.544 0.000 0.000
0.000 5.544 0.000
0.000 0.000 5.783
Sr Zn Br Ca
1 1 2 1
Direct
0.000 0.000 0.500
0.000 0.000 0.000
0.500 0.000 0.000
0.000 0.500 0.000
0.500 0.500 0.500
```

VASP calculation (GGA-PBEsol) on crystalline Co3OF5 at its relaxed geometry.

Output
E_tot: -5.762 eV/atom
Energy above the most stable polymorph in this dataset: 0 meV per atom
Magnetization: 6.074 μB per formula unit
Raw formation energy: -1.529 eV per atom
D(E_F): 11.66 states/eV/f.u.
SG: P1 (1)

```
Co3OF5
1.0
4.629 0.008 0.006
0.199 5.510 0.041
0.185 0.554 7.568
F Co O
10 6 2
Direct
0.699 0.804 0.900
0.286 0.543 0.772
0.306 0.858 0.430
0.300 0.200 0.100
0.699 0.464 0.235
0.198 0.701 0.102
0.215 0.038 0.752
0.704 0.134 0.566
0.805 0.967 0.231
0.200 0.354 0.444
0.521 0.818 0.661
0.997 0.017 0.989
0.499 0.163 0.334
0.520 0.490 0.992
0.991 0.659 0.347
0.960 0.358 0.681
0.800 0.297 0.902
0.799 0.635 0.564
```